(1)
First-principles (GGA-PBE) data for LaBe3Se after structural relaxation, as listed in Alexandria.

Cell lengths 4.521, 4.521, 4.521 Å; angles 90.00, 90.00, 90.00 degrees
Fractional positions:
1 Be 0.000 0.500 0.000
2 Be 0.000 0.000 0.500
3 Be 0.500 0.000 0.000
4 Se 0.000 0.000 0.000
5 La 0.500 0.500 0.500

Output
size of the total moment	0.00	μB per formula unit
E	-3.31	eV per atom

(2)
First-principles (GGA-PBE) data for La3BeSe after structural relaxation, as listed in Alexandria.

Cell lengths 5.639, 5.639, 5.639 Å; angles 90.00, 90.00, 90.00 degrees
Fractional positions:
1 Be 0.500 0.500 0.500
2 Se 0.000 0.000 0.000
3 La 0.000 0.500 0.000
4 La 0.000 0.000 0.500
5 La 0.500 0.000 0.000

Output
size of the total moment	0.00	μB per formula unit
E	-4.55	eV per atom

(3)
First-principles (GGA-PBE) data for La2BeSe after structural relaxation, as listed in Alexandria.

Cell lengths 5.125, 5.125, 5.125 Å; angles 60.00, 60.00, 60.00 degrees
Fractional positions:
1 Be 0.500 0.500 0.500
2 Se 0.750 0.750 0.750
3 La 0.000 0.000 0.000
4 La 0.250 0.250 0.250

Output
size of the total moment	0.00	μB per formula unit
E	-4.21	eV per atom

(4)
First-principles (GGA-PBE) data for La2BeSe after structural relaxation, as listed in Alexandria.

Cell lengths 4.216, 4.216, 7.802 Å; angles 74.33, 74.33, 59.97 degrees
Fractional positions:
1 Be 0.250 0.250 0.250
2 Se 0.750 0.750 0.750
3 La 0.000 0.000 0.999
4 La 0.500 0.500 0.501

Output
size of the total moment	0.00	μB per formula unit
E	-5.01	eV per atom

(5)
First-principles (GGA-PBE) data for LaBe3Se after structural relaxation, as listed in Alexandria.

Cell lengths 5.140, 5.140, 5.140 Å; angles 90.00, 90.00, 90.00 degrees
Fractional positions:
1 Be 0.000 0.500 0.000
2 Be 0.000 0.000 0.500
3 Be 0.500 0.000 0.000
4 Se 0.500 0.500 0.500
5 La 0.000 0.000 0.000

Output
size of the total moment	0.00	μB per formula unit
E	-2.01	eV per atom

(6)
First-principles (GGA-PBE) data for La2BeSe after structural relaxation, as listed in Alexandria.

Cell lengths 5.821, 5.821, 4.690 Å; angles 98.58, 98.58, 40.12 degrees
Fractional positions:
1 Be 0.285 0.285 0.192
2 Se 0.463 0.463 0.558
3 La 0.006 0.006 0.086
4 La 0.746 0.746 0.663

Output
size of the total moment	0.00	μB per formula unit
E	-4.99	eV per atom

(7)
First-principles (GGA-PBE) data for LaBeSe after structural relaxation, as listed in Alexandria.

Cell lengths 4.904, 4.904, 4.904 Å; angles 60.00, 60.00, 60.00 degrees
Fractional positions:
1 Be 0.500 0.500 0.500
2 Se 0.000 0.000 0.000
3 La 0.250 0.250 0.250

Output
size of the total moment	0.00	μB per formula unit
E	-4.23	eV per atom

(8)
First-principles (GGA-PBE) data for La2BeSe after structural relaxation, as listed in Alexandria.

Cell lengths 5.200, 5.200, 5.200 Å; angles 60.00, 60.00, 60.00 degrees
Fractional positions:
1 Be 0.000 0.000 0.000
2 Se 0.500 0.500 0.500
3 La 0.250 0.250 0.250
4 La 0.750 0.750 0.750

Output
size of the total moment	0.00	μB per formula unit
E	-4.79	eV per atom